(1)
MgSiRu2 after structural relaxation. Source: Alexandria via LeMat-Bulk, functional PBE.

Cell: 2.8322 3.7732 5.3526 Å, 90.00 90.00 90.00°
Positions (direct):
Mg  0.0000  0.0000  0.0000
Si  0.5000  0.5000  0.7209
Ru  0.0000  0.0000  0.5084
Ru  0.5000  0.5000  0.2440

Values from the calculation:
ΔE_f (raw): -0.0675 eV per atom
Space-group type: No. 25
Spin magnetization: 0.0 μB per formula unit
Calculated volume: 57.2 Å³/cell
Electronic total energy: -25.839 eV per cell

***

(2)
Pm5NdS8 after structural relaxation. Source: Alexandria via LeMat-Bulk, functional PBE.

Cell: 7.4293 7.4293 7.4293 Å, 108.23 108.23 111.98°
Positions (direct):
Pm  0.0000  0.0000  0.0000
Pm  0.2222  0.6244  0.0966
Pm  0.3756  0.4723  0.5978
Pm  0.5277  0.1255  0.9034
Pm  0.8745  0.7778  0.4022
Nd  0.7500  0.2500  0.5000
S  0.1219  0.7318  0.7438
S  0.1299  0.2367  0.7571
S  0.2682  0.0120  0.3901
S  0.4795  0.3728  0.2429
S  0.6219  0.8781  0.6099
S  0.6272  0.8701  0.1068
S  0.7633  0.5205  0.8932
S  0.9880  0.3781  0.2562

Values from the calculation:
ΔE_f (raw): -2.0276 eV per atom
Space-group type: No. 82
Spin magnetization: 0.0 μB per formula unit
Calculated volume: 315.2 Å³/cell
Electronic total energy: -89.927 eV per cell

***

(3)
Rb5Dy3I12 after structural relaxation. Source: Alexandria via LeMat-Bulk, functional PBE.

Cell: 15.2907 15.2907 4.4933 Å, 90.00 90.00 120.00°
Positions (direct):
Rb  0.0000  0.7211  0.0000
Rb  0.2789  0.2789  0.0000
Rb  0.3333  0.6667  0.0000
Rb  0.6667  0.3333  0.0000
Rb  0.7211  0.0000  0.0000
Dy  0.0000  0.3289  0.5000
Dy  0.3289  0.0000  0.5000
Dy  0.6711  0.6711  0.5000
I  0.0000  0.1855  0.0000
I  0.0000  0.4690  0.0000
I  0.1855  0.0000  0.0000
I  0.2103  0.7680  0.5000
I  0.2320  0.4423  0.5000
I  0.4423  0.2320  0.5000
I  0.4690  0.0000  0.0000
I  0.5310  0.5310  0.0000
I  0.5577  0.7897  0.5000
I  0.7680  0.2103  0.5000
I  0.7897  0.5577  0.5000
I  0.8145  0.8145  0.0000

Values from the calculation:
ΔE_f (raw): -1.3624 eV per atom
Space-group type: No. 189
Spin magnetization: 0.0 μB per formula unit
Calculated volume: 909.8 Å³/cell
Electronic total energy: -64.494 eV per cell

***

(4)
PmGdAs after structural relaxation. Source: Alexandria via LeMat-Bulk, functional PBE.

Cell: 4.0343 4.0343 6.5721 Å, 90.00 90.00 120.00°
Positions (direct):
Pm  0.0000  0.0000  0.0000
Gd  0.3333  0.6667  0.5230
As  0.6667  0.3333  0.2679

Values from the calculation:
Relative energy among the computed polymorphs: 0.0 meV/atom
Space-group type: No. 156
Spin magnetization: 8.3 μB per formula unit
Calculated volume: 92.6 Å³/cell
Electronic total energy: -26.129 eV per cell
Energy of formation from the pure elements: -883 meV/atom

***

(5)
CoAsOs2 after structural relaxation. Source: Alexandria via LeMat-Bulk, functional PBE.

Cell: 2.8364 2.8364 6.8191 Å, 90.00 90.00 90.00°
Positions (direct):
Co  0.0000  0.0000  0.0000
As  0.5000  0.5000  0.7946
Os  0.0000  0.0000  0.5225
Os  0.5000  0.5000  0.2712

Values from the calculation:
Space-group type: No. 99
Spin magnetization: 1.0 μB per formula unit
Calculated volume: 54.9 Å³/cell
Electronic total energy: -33.117 eV per cell
Energy of formation from the pure elements: 275 meV/atom

***

(6)
K3Rb6Au2 after structural relaxation. Source: Alexandria via LeMat-Bulk, functional PBE.

Cell: 16.5615 16.5615 16.5615 Å, 156.46 156.46 33.53°
Positions (direct):
K  0.0000  0.0000  0.0000
K  0.1940  0.1940  0.0000
K  0.8060  0.8060  0.0000
Rb  0.0763  0.5763  0.5000
Rb  0.3342  0.3342  0.0000
Rb  0.4237  0.9237  0.5000
Rb  0.5763  0.0763  0.5000
Rb  0.6658  0.6658  0.0000
Rb  0.9237  0.4237  0.5000
Au  0.4552  0.4552  0.0000
Au  0.5448  0.5448  0.0000

Values from the calculation:
Space-group type: No. 139
Spin magnetization: 0.0 μB per formula unit
Calculated volume: 723.9 Å³/cell
Electronic total energy: -15.959 eV per cell
Energy of formation from the pure elements: -28 meV/atom

***

(7)
La3Nd3Tl2Ge after structural relaxation. Source: Alexandria via LeMat-Bulk, functional PBE.

Cell: 8.7856 8.7856 4.2651 Å, 90.00 90.00 120.00°
Positions (direct):
La  0.0000  0.7406  0.0000
La  0.2594  0.2594  0.0000
La  0.7406  0.0000  0.0000
Nd  0.0000  0.3967  0.5000
Nd  0.3967  0.0000  0.5000
Nd  0.6033  0.6033  0.5000
Tl  0.3333  0.6667  0.0000
Tl  0.6667  0.3333  0.0000
Ge  0.0000  0.0000  0.5000

Values from the calculation:
Space-group type: No. 189
Spin magnetization: 0.0 μB per formula unit
Calculated volume: 285.1 Å³/cell
Electronic total energy: -41.876 eV per cell
Energy of formation from the pure elements: -382 meV/atom

***

(8)
MgZnP2 after structural relaxation. Source: Alexandria via LeMat-Bulk, functional PBE.

Cell: 6.8212 6.8212 6.8212 Å, 29.92 29.92 29.92°
Positions (direct):
Mg  0.0000  0.0000  0.0000
Zn  0.5000  0.5000  0.5000
P  0.2429  0.2429  0.2429
P  0.7571  0.7571  0.7571

Values from the calculation:
Relative energy among the computed polymorphs: 133.1 meV/atom
Space-group type: No. 166
Spin magnetization: 0.0 μB per formula unit
Calculated volume: 69.9 Å³/cell
Electronic total energy: -13.787 eV per cell
Energy of formation from the pure elements: -25 meV/atom